An optimized crystal structure of BaIn, computed with PBE-GGA.

Cell: 7.956 7.956 7.956 Å, 90.00 90.00 90.00°
Atoms (fractional coordinates):
Ba1 0.000 0.000 0.000
Ba2 0.000 0.500 0.500
Ba3 0.500 0.000 0.500
Ba4 0.500 0.500 0.000
In1 0.250 0.250 0.750
In2 0.250 0.750 0.250
In3 0.750 0.250 0.250
In4 0.750 0.750 0.750

Summary:
DFT formation energy	0.38	eV/atom
ρ	3.3	g cm⁻³
M_tot	0.62	μB per formula unit
final energy	-1.952	eV/atom



An optimized crystal structure of AcZn2Pd, computed with PBE-GGA.

Cell: 7.046 7.046 7.046 Å, 90.00 90.00 90.00°
Atoms (fractional coordinates):
Ac1 0.000 0.000 0.000
Ac2 0.000 0.500 0.500
Ac3 0.500 0.000 0.500
Ac4 0.500 0.500 0.000
Zn1 0.250 0.250 0.250
Zn2 0.250 0.250 0.750
Zn3 0.250 0.750 0.250
Zn4 0.250 0.750 0.750
Zn5 0.750 0.250 0.250
Zn6 0.750 0.250 0.750
Zn7 0.750 0.750 0.250
Zn8 0.750 0.750 0.750
Pd1 0.000 0.000 0.500
Pd2 0.000 0.500 0.000
Pd3 0.500 0.000 0.000
Pd4 0.500 0.500 0.500

Summary:
DFT formation energy	-0.29	eV/atom
ρ	8.8	g cm⁻³
M_tot	0.00	μB per formula unit
relative energy among the computed polymorphs	0.2549	eV per atom
final energy	-3.252	eV/atom



An optimized crystal structure of Pm4Sb2C, computed with PBE-GGA.

Cell: 7.231 6.668 8.949 Å, 90.00 108.38 90.00°
Atoms (fractional coordinates):
Pm1 0.010 0.003 0.238
Pm2 0.010 0.497 0.238
Pm3 0.410 0.750 0.576
Pm4 0.424 0.750 0.133
Pm5 0.576 0.250 0.867
Pm6 0.590 0.250 0.424
Pm7 0.990 0.503 0.762
Pm8 0.990 0.997 0.762
Sb1 0.226 0.250 0.557
Sb2 0.271 0.250 0.065
Sb3 0.729 0.750 0.935
Sb4 0.774 0.750 0.443
C1 0.235 0.750 0.306
C2 0.765 0.250 0.694

Summary:
energy relative to the elements, uncorrected	-0.66	eV per atom
ρ	6.8	g cm⁻³
M_tot	0.00	μB per formula unit
relative energy among the computed polymorphs	0.0676	eV per atom
final energy	-5.867	eV/atom



An optimized crystal structure of Cs4K3AgF8, computed with PBE-GGA.

Cell: 8.094 8.094 8.055 Å, 119.83 119.83 59.16°
Atoms (fractional coordinates):
Cs1 0.000 0.000 0.000
Cs2 0.000 0.500 0.500
Cs3 0.500 0.000 0.500
Cs4 0.500 0.500 0.000
K1 0.000 0.000 0.500
K2 0.000 0.500 0.000
K3 0.500 0.000 0.000
Ag1 0.500 0.500 0.500
F1 0.240 0.240 0.761
F2 0.252 0.252 0.231
F3 0.252 0.730 0.271
F4 0.270 0.748 0.729
F5 0.730 0.252 0.271
F6 0.748 0.270 0.729
F7 0.748 0.748 0.769
F8 0.760 0.760 0.239

Summary:
energy relative to the elements, uncorrected	-2.43	eV per atom
ρ	4.1	g cm⁻³
M_tot	0.00	μB per formula unit
final energy	-3.966	eV/atom



Repeat the first record exactly.
An optimized crystal structure of BaIn, computed with PBE-GGA.

Cell: 7.956 7.956 7.956 Å, 90.00 90.00 90.00°
Atoms (fractional coordinates):
Ba1 0.000 0.000 0.000
Ba2 0.000 0.500 0.500
Ba3 0.500 0.000 0.500
Ba4 0.500 0.500 0.000
In1 0.250 0.250 0.750
In2 0.250 0.750 0.250
In3 0.750 0.250 0.250
In4 0.750 0.750 0.750

Summary:
DFT formation energy	0.38	eV/atom
ρ	3.3	g cm⁻³
M_tot	0.62	μB per formula unit
final energy	-1.952	eV/atom



- final energy of number 4 (Cs4K3AgF8)?
  -3.966 eV/atom



- What is the ρ in the second record?
  8.8 g cm⁻³